# 1
BaAsNO2 PBE-GGA relaxed; SG = P4/mmm (123); VASP energy = -3.98 eV/atom
1.0
4.6588 0.0000 0.0000
0.0000 4.6588 0.0000
0.0000 0.0000 5.4157
Ba As N O
1 1 1 2
Cartesian
0.0000 0.0000 0.0000
2.3294 2.3294 2.7079
0.0000 0.0000 2.7079
0.0000 2.3294 0.0000
2.3294 0.0000 0.0000

# 2
CaTlRu2 PBE-GGA relaxed; SG = F-43m (216); VASP energy = -5.27 eV/atom; DFT formation energy = 463 meV per atom; distance to the lowest polymorph of the same formula = 0.2710 eV/atom
1.0
0.0000 3.3599 3.3599
3.3599 0.0000 3.3599
3.3599 3.3599 0.0000
Ca Tl Ru
1 1 2
Cartesian
0.0000 0.0000 0.0000
5.0399 5.0399 5.0399
1.6800 1.6800 1.6800
3.3599 3.3599 3.3599

# 3
As2PbSe4 PBE-GGA relaxed; SG = Cc (9); VASP energy = -4.05 eV/atom
1.0
4.6529 -7.4468 0.0000
4.6529 7.4468 0.0000
-4.1200 0.0000 5.9439
As Pb Se
4 2 8
Cartesian
2.5929 6.9649 2.9720
4.6089 3.8863 2.5451
2.5489 -3.8863 5.5171
4.6529 -6.9649 0.0000
1.0626 2.1425 4.7923
3.1226 -2.1425 1.8204
2.2241 4.5452 2.7390
3.0008 1.5811 0.6558
5.2812 4.6476 0.2930
0.9408 -1.5811 3.6278
0.1641 -4.5452 5.7109
4.8758 0.0182 3.5173
6.9359 -0.0182 0.5453
3.2212 -4.6476 3.2650